The following is a GGA+U calculation of a relaxed LiFeSiO4 crystal, from Alexandria via LeMat-Bulk.

```
LiFeSiO4
1.0
5.411 0.000 0.000
-2.706 4.686 0.000
0.000 0.000 12.164
Li Fe Si O
3 3 3 12
Cartesian
0.000 0.000 0.000
0.000 0.000 4.055
0.000 0.000 8.109
-1.353 2.343 10.136
2.706 0.000 6.082
1.353 2.343 2.027
-1.353 2.343 4.055
2.706 0.000 0.000
1.353 2.343 8.109
-0.070 1.859 3.153
-1.131 3.696 4.956
0.070 1.859 9.011
-1.061 3.818 11.262
1.645 0.869 0.902
1.575 0.990 7.207
1.131 3.696 7.207
1.061 3.818 0.902
3.766 0.869 11.262
2.635 2.827 9.011
3.837 0.990 4.956
2.776 2.827 3.153
```

Properties
Space-group type: P6_422, No. 181
Energy relative to the lowest polymorph listed for this composition in eV per atom: 0.029